Below is a relaxed BaFeO3 crystal, with properties calculated at the PBE with a Hubbard U level.

Unit cell a=4.0368 b=6.6596 c=7.3897 alpha=90.00 beta=105.56 gamma=90.00
With the nearest neighbours (Å) after each atom.
Space group P2_1/m (No. 11)
One atom of each set of equivalent atoms:
Ba  0.1514  0.2500  0.3003 [2 per cell]  8 O 2.79-2.93
Fe  0.3953  0.2500  0.7904 [2 per cell]  3 O 1.66-1.69
O  0.3291  0.0375  0.6609 [4 per cell]  1 Fe 1.69
O  0.4842  0.7500  0.9759 [2 per cell]  1 Fe 1.66

Output
The calculated volume is 191 Å³ per cell. The raw total energy is -6.0357 eV/atom.